P.
Here is crystalline NaScNiSn at its relaxed geometry from OQMD. Energies are from GGA-PBE.

spin magnetization	0.03	μB/cell

abc: 6.800 6.800 6.800
angles: 90.00 90.00 90.00
Space group F-43m (No. 216)
Symmetry-distinct sites (fractional):
Na 0.000 0.000 0.000
Sc 0.000 0.000 0.500
Ni 0.250 0.250 0.750
Sn 0.250 0.250 0.250


Q.
Here is crystalline NaScNiSn at its relaxed geometry from OQMD. Energies are from GGA-PBE.

spin magnetization	0.00	μB/cell

abc: 6.579 6.579 6.579
angles: 90.00 90.00 90.00
Space group F-43m (No. 216)
Symmetry-distinct sites (fractional):
Na 0.000 0.000 0.000
Sc 0.250 0.250 0.750
Ni 0.000 0.000 0.500
Sn 0.250 0.250 0.250


Name the most stable of them. Q.


P.
Here is crystalline NaScNiTe3 at its relaxed geometry from OQMD. Energies are from GGA-PBE.

spin magnetization	0.03	μB/cell

abc: 4.009 15.754 10.100
angles: 90.00 90.00 90.00
Space group Cmcm (No. 63)
Symmetry-distinct sites (fractional):
Na 0.000 0.246 0.250
Sc 0.000 0.000 0.000
Ni 0.000 0.490 0.750
Te 0.000 0.092 0.750
Te 0.000 0.375 0.579


Q.
Here is crystalline NaScNiTe3 at its relaxed geometry from OQMD. Energies are from GGA-PBE.

spin magnetization	0.01	μB/cell

abc: 8.550 3.984 10.322
angles: 90.00 112.64 90.00
Space group P2_1/m (No. 11)
Symmetry-distinct sites (fractional):
Na 0.239 0.250 0.208
Sc 0.187 0.750 0.654
Ni 0.410 0.250 0.901
Te 0.068 0.750 0.352
Te 0.272 0.750 0.963
Te 0.436 0.250 0.664


Name the most stable of them. P.


P.
Here is crystalline NaTbNiSe3 at its relaxed geometry from OQMD. Energies are from GGA-PBE.

spin magnetization	4.74	μB/cell

abc: 3.951 13.778 10.448
angles: 90.00 90.00 90.00
Space group Cmcm (No. 63)
Symmetry-distinct sites (fractional):
Na 0.000 0.247 0.250
Tb 0.000 0.000 0.000
Ni 0.000 0.484 0.750
Se 0.000 0.085 0.750
Se 0.000 0.365 0.586


Q.
Here is crystalline NaTbNiSe3 at its relaxed geometry from OQMD. Energies are from GGA-PBE.

spin magnetization	3.65	μB/cell

abc: 11.098 4.082 11.962
angles: 90.00 90.00 90.00
Space group Pnma (No. 62)
Symmetry-distinct sites (fractional):
Na 0.183 0.250 0.005
Tb 0.015 0.250 0.313
Ni 0.250 0.250 0.716
Se 0.051 0.750 0.146
Se 0.111 0.250 0.562
Se 0.219 0.750 0.808


R.
Here is crystalline NaTbNiSe3 at its relaxed geometry from OQMD. Energies are from GGA-PBE.

spin magnetization	2.40	μB/cell

abc: 8.331 4.011 9.244
angles: 90.00 103.04 90.00
Space group P2_1/m (No. 11)
Symmetry-distinct sites (fractional):
Na 0.197 0.250 0.227
Tb 0.322 0.750 0.854
Ni 0.080 0.250 0.591
Se 0.080 0.250 0.853
Se 0.201 0.750 0.528
Se 0.439 0.750 0.170


Name the most stable of them. R.


P.
Here is crystalline NaTlNiSn at its relaxed geometry from OQMD. Energies are from GGA-PBE.

spin magnetization	0.00	μB/cell

abc: 7.011 7.011 7.011
angles: 90.00 90.00 90.00
Space group F-43m (No. 216)
Symmetry-distinct sites (fractional):
Na 0.000 0.000 0.000
Tl 0.000 0.000 0.500
Ni 0.250 0.250 0.250
Sn 0.250 0.250 0.750


Q.
Here is crystalline NaTlNiSn at its relaxed geometry from OQMD. Energies are from GGA-PBE.

spin magnetization	0.00	μB/cell

abc: 6.840 6.840 6.840
angles: 90.00 90.00 90.00
Space group F-43m (No. 216)
Symmetry-distinct sites (fractional):
Na 0.000 0.000 0.000
Tl 0.250 0.250 0.250
Ni 0.000 0.000 0.500
Sn 0.250 0.250 0.750


Name the most stable of them. Q.


P.
Here is crystalline NaSr3Ni at its relaxed geometry from OQMD. Energies are from GGA-PBE.

spin magnetization	0.05	μB/cell

abc: 4.185 8.007 12.462
angles: 84.75 89.96 74.90
Space group P-1 (No. 2)
Symmetry-distinct sites (fractional):
Na 0.054 0.397 0.385
Sr 0.101 0.300 0.885
Sr 0.319 0.862 0.382
Sr 0.349 0.801 0.841
Ni 0.257 0.986 0.044


Q.
Here is crystalline NaSr3Ni at its relaxed geometry from OQMD. Energies are from GGA-PBE.

spin magnetization	0.00	μB/cell

abc: 5.857 5.857 5.857
angles: 90.00 90.00 90.00
Space group Pm-3m (No. 221)
Symmetry-distinct sites (fractional):
Na 0.000 0.000 0.000
Sr 0.000 0.500 0.500
Ni 0.500 0.500 0.500


Name the most stable of them. P.


P.
Here is crystalline NaTmNiTe3 at its relaxed geometry from OQMD. Energies are from GGA-PBE.

spin magnetization	0.01	μB/cell

abc: 4.103 15.701 10.471
angles: 90.00 90.00 90.00
Space group Cmcm (No. 63)
Symmetry-distinct sites (fractional):
Na 0.000 0.248 0.250
Tm 0.000 0.000 0.000
Ni 0.000 0.490 0.750
Te 0.000 0.092 0.750
Te 0.000 0.371 0.586


Q.
Here is crystalline NaTmNiTe3 at its relaxed geometry from OQMD. Energies are from GGA-PBE.

spin magnetization	0.01	μB/cell

abc: 12.091 4.218 12.283
angles: 90.00 90.00 90.00
Space group Pnma (No. 62)
Symmetry-distinct sites (fractional):
Na 0.210 0.250 0.011
Tm 0.040 0.250 0.302
Ni 0.235 0.750 0.215
Te 0.050 0.750 0.125
Te 0.098 0.250 0.576
Te 0.204 0.750 0.806


Name the most stable of them. P.